! BaAu3 | the Alexandria database | meta-GGA SCAN | PBEsol geometry; values from VASP
! formation energy from the elements = -0.668 eV per atom
! calculated density = 12.63 Mg/m³
&SYSTEM
  ibrav = 0, nat = 16, ntyp = 2
/
ATOMIC_SPECIES
Ba 137.33 Ba.upf
Au 196.97 Au.upf
ATOMIC_POSITIONS angstrom
Ba 0.212 1.892 0.781
Ba 3.863 5.675 3.886
Ba 4.287 1.892 2.324
Ba 7.938 5.675 5.428
Au 1.139 5.675 2.174
Au 1.307 0.457 3.596
Au 1.307 3.326 3.596
Au 2.768 4.241 0.492
Au 2.768 7.109 0.492
Au 2.936 1.892 5.279
Au 5.214 5.675 0.930
Au 5.381 0.457 5.718
Au 5.381 3.326 5.718
Au 6.843 4.241 2.613
Au 6.843 7.109 2.613
Au 7.011 1.892 4.035
CELL_PARAMETERS angstrom
8.150 0.000 0.000
0.000 7.566 0.000
0.000 0.000 6.209

=====

! Zr2AlSe | the Alexandria database | meta-GGA SCAN | PBEsol geometry; values from VASP
! offset from the most stable computed form = 335 meV/atom
! calculated density = 5.78 Mg/m³
! formation energy from raw total energies = -0.414 eV/atom
&SYSTEM
  ibrav = 0, nat = 4, ntyp = 3
/
ATOMIC_SPECIES
Zr 91.22 Zr.upf
Al 26.98 Al.upf
Se 78.96 Se.upf
ATOMIC_POSITIONS angstrom
Zr 0.000 0.000 0.000
Zr 0.000 0.000 6.133
Al 0.000 0.000 19.387
Se 0.000 0.000 12.773
CELL_PARAMETERS angstrom
1.671 0.965 8.554
-1.671 0.965 8.554
0.000 -1.930 8.554

=====

! MoAuIN2 | the Alexandria database | meta-GGA SCAN | PBEsol geometry; values from VASP
! calculated density = 8.48 Mg/m³
! formation energy from raw total energies = 0.650 eV/atom
&SYSTEM
  ibrav = 0, nat = 5, ntyp = 4
/
ATOMIC_SPECIES
Mo 95.94 Mo.upf
Au 196.97 Au.upf
I 126.90 I.upf
N 14.01 N.upf
ATOMIC_POSITIONS angstrom
Mo 0.000 0.000 0.000
Au 1.947 1.947 2.890
I 0.000 0.000 2.890
N 0.000 1.947 0.000
N 1.947 0.000 0.000
CELL_PARAMETERS angstrom
3.894 0.000 0.000
0.000 3.894 0.000
0.000 0.000 5.781

=====

! La2MgW | the Alexandria database | meta-GGA SCAN | PBEsol geometry; values from VASP
! formation energy from the elements = 0.560 eV per atom
! offset from the most stable computed form = 0 meV/atom
! calculated density = 8.14 Mg/m³
&SYSTEM
  ibrav = 0, nat = 4, ntyp = 3
/
ATOMIC_SPECIES
La 138.91 La.upf
Mg 24.30 Mg.upf
W 183.84 W.upf
ATOMIC_POSITIONS angstrom
La 0.000 0.000 0.000
La -0.001 2.543 4.043
Mg 1.573 2.543 1.272
W 1.549 0.000 2.754
CELL_PARAMETERS angstrom
3.133 0.000 0.000
0.000 5.087 0.000
-1.541 0.000 6.220

=====

! K2TlSe | the Alexandria database | meta-GGA SCAN | PBEsol geometry; values from VASP
! offset from the most stable computed form = 64 meV/atom
! calculated density = 4.87 Mg/m³
! formation energy from raw total energies = -0.588 eV/atom
&SYSTEM
  ibrav = 0, nat = 4, ntyp = 3
/
ATOMIC_SPECIES
K 39.10 K.upf
Tl 204.38 Tl.upf
Se 78.96 Se.upf
ATOMIC_POSITIONS angstrom
K 0.000 0.000 0.000
K 0.000 2.430 2.607
Tl 2.430 0.000 2.607
Se 0.000 0.000 5.213
CELL_PARAMETERS angstrom
-2.430 2.430 5.213
2.430 -2.430 5.213
2.430 2.430 -5.213

=====

! ZnAgP2 | the Alexandria database | meta-GGA SCAN | PBEsol geometry; values from VASP
! formation energy from the elements = 0.435 eV per atom
! calculated density = 6.12 Mg/m³
&SYSTEM
  ibrav = 0, nat = 4, ntyp = 3
/
ATOMIC_SPECIES
Zn 65.41 Zn.upf
Ag 107.87 Ag.upf
P 30.97 P.upf
ATOMIC_POSITIONS angstrom
Zn 0.000 0.000 0.000
Ag 1.332 1.950 1.683
P 0.000 0.000 2.849
P 1.332 1.950 5.063
CELL_PARAMETERS angstrom
2.664 0.000 0.000
0.000 3.901 0.000
0.000 0.000 6.140

=====

What V values result from the calculations? In sequence: 23.9, 20.7, 17.5, 24.8, 30.8, 16.0 A^3/atom.